## Sr2Si2Hg (PBE)

Data for a relaxed Sr2Si2Hg crystal.

```
5
Lattice="-2.9724 2.9724 4.5794 2.9724 -2.9724 4.5794 2.9724 2.9724 -4.5794" Properties=species:S:1:pos:R:3 pbc="T T T"
Sr 2.9724 0.0000 2.2897
Sr 0.0000 2.9724 2.2897
Si 0.0000 0.0000 1.1312
Si 0.0000 0.0000 8.0277
Hg 0.0000 0.0000 4.5794
```

Computed properties:
E above lowest polymorph	324	meV per atom
DOS at the Fermi energy	4.3	states/eV/f.u.
uncorrected formation energy	-95	meV/atom
calculated volume	32.37	Å³/atom